Dy2Hg2O5 after structural relaxation, computed with PBE-GGA.

Results
uncorrected energy = -5.57 eV per atom
space group = P4/mmm
magnetization = 1.05 μB per cell

Lattice parameters (Å, degrees): 4.088 4.088 8.781 90.00 90.00 90.00
Atoms (fractional coordinates):
Dy: 0.000 0.000 0.249
Dy: 0.000 0.000 0.751
Hg: 0.500 0.500 0.000
Hg: 0.500 0.500 0.500
O: 0.000 0.000 0.000
O: 0.000 0.500 0.337
O: 0.000 0.500 0.663
O: 0.500 0.000 0.337
O: 0.500 0.000 0.663